# LiDySi2Pt5 | Alexandria | PBE | optimized geometry
data_LiDySi2Pt5
_symmetry_space_group_name_H-M 'P 4/m m m'
_symmetry_Int_Tables_number 123
_symmetry_space_group_name_Hall '-P 4 2'
_cell_length_a 4.0926
_cell_length_b 4.0926
_cell_length_c 9.0948
_cell_angle_alpha 90.00
_cell_angle_beta 90.00
_cell_angle_gamma 90.00
loop_
_atom_site_label
_atom_site_type_symbol
_atom_site_fract_x
_atom_site_fract_y
_atom_site_fract_z
_atom_site_occupancy
Li1 Li 0.0000 0.0000 0.0000 1
Dy1 Dy 0.0000 0.0000 0.5000 1
Si1 Si 0.5000 0.5000 0.1282 1
Pt1 Pt 0.0000 0.5000 0.2635 1
Pt2 Pt 0.5000 0.5000 0.5000 1
# Uncorrected formation energy: -906 meV/atom

Density functional theory data (PBE) for a relaxed GePt8Rh6 crystal.

```
data_GePt8Rh6
_symmetry_space_group_name_H-M 'R -3'
_symmetry_Int_Tables_number 148
_symmetry_space_group_name_Hall '-R 3'
_cell_length_a 6.5416
_cell_length_b 6.5416
_cell_length_c 18.9607
_cell_angle_alpha 90.00
_cell_angle_beta 90.00
_cell_angle_gamma 120.00
loop_
_atom_site_label
_atom_site_type_symbol
_atom_site_fract_x
_atom_site_fract_y
_atom_site_fract_z
_atom_site_occupancy
Ge1 Ge 0.0000 0.0000 0.0000 1
Pt1 Pt 0.0000 0.0000 0.1780 1
Pt2 Pt 0.0437 0.2678 0.5585 1
Rh1 Rh 0.0357 0.2600 0.7045 1
```

# Y3TiZn | Alexandria | PBE | optimized geometry
data_Y3TiZn
_symmetry_space_group_name_H-M 'P m -3 m'
_symmetry_Int_Tables_number 221
_symmetry_space_group_name_Hall '-P 4 2 3'
_cell_length_a 5.3344
_cell_length_b 5.3344
_cell_length_c 5.3344
_cell_angle_alpha 90.00
_cell_angle_beta 90.00
_cell_angle_gamma 90.00
loop_
_atom_site_label
_atom_site_type_symbol
_atom_site_fract_x
_atom_site_fract_y
_atom_site_fract_z
_atom_site_occupancy
Y1 Y 0.0000 0.0000 0.5000 1
Ti1 Ti 0.0000 0.0000 0.0000 1
Zn1 Zn 0.5000 0.5000 0.5000 1
# Energy relative to the lowest polymorph listed for this composition: 73 meV/atom

Density functional theory data (PBE) for a relaxed Th2Mg6Cd3 crystal.

```
data_Th2Mg6Cd3
_symmetry_space_group_name_H-M 'P -6 2 m'
_symmetry_Int_Tables_number 189
_symmetry_space_group_name_Hall 'P -6 -2'
_cell_length_a 8.6510
_cell_length_b 8.6510
_cell_length_c 4.3057
_cell_angle_alpha 90.00
_cell_angle_beta 90.00
_cell_angle_gamma 120.00
loop_
_atom_site_label
_atom_site_type_symbol
_atom_site_fract_x
_atom_site_fract_y
_atom_site_fract_z
_atom_site_occupancy
Th1 Th 0.3333 0.6667 0.0000 1
Mg1 Mg 0.0000 0.1989 0.0000 1
Mg2 Mg 0.0000 0.7115 0.5000 1
Cd1 Cd 0.0000 0.3964 0.5000 1
```

# LaSiRu2 | Alexandria | PBE | optimized geometry
data_LaSiRu2
_symmetry_space_group_name_H-M 'I m m 2'
_symmetry_Int_Tables_number 44
_cell_length_a 3.3418
_cell_length_b 4.1665
_cell_length_c 10.3155
_cell_angle_alpha 90.00
_cell_angle_beta 90.00
_cell_angle_gamma 90.00
loop_
_symmetry_equiv_pos_as_xyz
'x,y,z'
'-x,-y,z'
'-x,y,z'
'x,-y,z'
'x+1/2,y+1/2,z+1/2'
'-x+1/2,-y+1/2,z+1/2'
'-x+1/2,y+1/2,z+1/2'
'x+1/2,-y+1/2,z+1/2'
loop_
_atom_site_label
_atom_site_type_symbol
_atom_site_fract_x
_atom_site_fract_y
_atom_site_fract_z
_atom_site_occupancy
La1 La 0.0000 0.0000 0.0000 1
Si1 Si 0.0000 0.5000 0.2335 1
Ru1 Ru 0.0000 0.0000 0.5593 1
Ru2 Ru 0.0000 0.5000 0.7702 1
# Uncorrected formation energy: -73 meV/atom

Density functional theory data (PBE) for a relaxed SrErPb5 crystal.

```
data_SrErPb5
_symmetry_space_group_name_H-M 'P 4/m m m'
_symmetry_Int_Tables_number 123
_symmetry_space_group_name_Hall '-P 4 2'
_cell_length_a 4.8341
_cell_length_b 4.8341
_cell_length_c 9.6829
_cell_angle_alpha 90.00
_cell_angle_beta 90.00
_cell_angle_gamma 90.00
loop_
_atom_site_label
_atom_site_type_symbol
_atom_site_fract_x
_atom_site_fract_y
_atom_site_fract_z
_atom_site_occupancy
Sr1 Sr 0.0000 0.0000 0.0000 1
Er1 Er 0.5000 0.5000 0.5000 1
Pb1 Pb 0.0000 0.5000 0.2743 1
Pb2 Pb 0.5000 0.5000 0.0000 1
```

The following volume values (in Å³/f.u.) correspond, in order, to the records above: 152.3 234.2 151.8 279.1 71.8 226.3.
The following E values (in eV for the cell shown) correspond, in order, to the records above: -55.72 -289.50 -25.57 -27.08 -58.39 -26.30.